# 1
A plane-wave DFT calculation with SCAN was carried out for a PBEsol-optimized structure of In2Ag2Te.

a b c (Å): 4.236 4.236 7.096
angles (deg): 107.37 107.37 90.00
Sites, in units of the cell vectors:
Ag  0.602  0.602  0.205
Ag  0.398  0.398  0.795
In  0.250  0.750  0.500
In  0.750  0.250  0.500
Te  0.000  0.000  0.000

Summary:
uncorrected formation energy = 0.0981 eV per atom
crystal system = tetragonal


# 2
A plane-wave DFT calculation with SCAN was carried out for a PBEsol-optimized structure of La2InCl.

a b c (Å): 5.346 5.346 5.346
angles (deg): 60.00 60.00 60.00
Sites, in units of the cell vectors:
Cl  0.500  0.500  0.500
In  0.250  0.250  0.250
La  0.000  0.000  0.000
La  0.750  0.750  0.750

Summary:
uncorrected formation energy = -0.4113 eV per atom
E above lowest polymorph = 3.13 eV per formula unit
crystal system = cubic


# 3
A plane-wave DFT calculation with SCAN was carried out for a PBEsol-optimized structure of LiMnIr.

a b c (Å): 3.864 3.864 3.864
angles (deg): 60.00 60.00 60.00
Site moments in Bohr magnetons follow the coordinates.
Sites, in units of the cell vectors:
Ir  0.500  0.500  0.500  0.16
Li  0.250  0.250  0.250  0.00
Mn  0.000  0.000  0.000  3.96

Summary:
energy of formation = 30.97 kJ per mole of atoms
E above lowest polymorph = 0.83 eV per formula unit
crystal system = cubic


# 4
A plane-wave DFT calculation with SCAN was carried out for a PBEsol-optimized structure of RbBa3As.

a b c (Å): 6.523 6.523 6.523
angles (deg): 90.00 90.00 90.00
Sites, in units of the cell vectors:
As  0.000  0.000  0.000
Ba  0.000  0.500  0.000
Ba  0.000  0.000  0.500
Ba  0.500  0.000  0.000
Rb  0.500  0.500  0.500

Summary:
energy of formation = -50.41 kJ per mole of atoms
crystal system = cubic


# 5
A plane-wave DFT calculation with SCAN was carried out for a PBEsol-optimized structure of ZrTlInBr2.

a b c (Å): 5.465 5.465 5.750
angles (deg): 90.00 90.00 90.00
Site moments in Bohr magnetons follow the coordinates.
Sites, in units of the cell vectors:
Tl  0.500  0.500  0.500  0.05
Br  0.000  0.500  0.000  0.01
Br  0.500  0.000  0.000  0.01
Zr  0.000  0.000  0.500  0.90
In  0.000  0.000  0.000  0.01

Summary:
uncorrected formation energy = 0.3419 eV per atom
crystal system = tetragonal


# 6
A plane-wave DFT calculation with SCAN was carried out for a PBEsol-optimized structure of Cu3Ni.

a b c (Å): 2.503 3.499 5.010
angles (deg): 90.00 90.00 90.00
Sites, in units of the cell vectors:
Ni  0.500  0.500  0.000
Cu  0.000  0.000  0.753
Cu  0.500  0.500  0.500
Cu  0.000  0.000  0.247

Summary:
energy of formation = 3.47 kJ per mole of atoms
crystal system = orthorhombic


# 7
A plane-wave DFT calculation with SCAN was carried out for a PBEsol-optimized structure of BeIn2Br.

a b c (Å): 3.207 5.293 5.293
angles (deg): 90.09 90.00 90.00
Sites, in units of the cell vectors:
Be  0.500  0.000  0.000
Br  0.500  0.500  0.500
In  0.000  0.500  0.000
In  0.000  0.000  0.500

Summary:
uncorrected formation energy = 0.2986 eV per atom
E above lowest polymorph = 0.13 eV per formula unit
crystal system = orthorhombic


# 8
A plane-wave DFT calculation with SCAN was carried out for a PBEsol-optimized structure of TaP2Os.

a b c (Å): 3.009 3.009 7.562
angles (deg): 78.52 78.52 60.00
Sites, in units of the cell vectors:
Os  0.260  0.260  0.219
P  0.001  0.001  0.996
P  0.745  0.745  0.766
Ta  0.494  0.494  0.519

Summary:
energy of formation = -6.43 kJ per mole of atoms
E above lowest polymorph = 0.23 eV per formula unit
crystal system = trigonal


Sequential calculated volume output: 23.08 27.01 13.59 55.52 34.35 10.97 22.46 14.43 Å³ per atom
Sequential calculated total energy output: -166.3 -129.2 -90.8 -162.2 -173.7 -61.6 -89.4 -159.5 eV for the cell shown
Sequential N(E_F) output: 1.51 4.33 1.52 4.21 3.54 2.08 1.35 1.75 states/eV/f.u.